# 1
Material: Ca3S2Br
Method: DFT, PBE-GGA
State: optimized geometry

a b c (Å): 8.0401 8.0401 11.4019
angles (deg): 90.00 90.00 150.01
Positions (direct):
Ca (0.0035, 0.9965, 0.7500)
Ca (0.3722, 0.6278, 0.0165)
Ca (0.3722, 0.6278, 0.4835)
Ca (0.6278, 0.3722, 0.5165)
Ca (0.6278, 0.3722, 0.9835)
Ca (0.9965, 0.0035, 0.2500)
S (0.0000, 0.0000, 0.0000)
S (0.0000, 0.0000, 0.5000)
S (0.3825, 0.6175, 0.2500)
S (0.6175, 0.3825, 0.7500)
Br (0.3612, 0.6388, 0.7500)
Br (0.6388, 0.3612, 0.2500)

The calculation puts the raw formation energy at -1.715 eV/atom.

=====

# 2
Material: ZrMn2Cd
Method: DFT, PBE-GGA
State: optimized geometry

a b c (Å): 4.6731 4.6731 4.6731
angles (deg): 60.00 60.00 60.00
Positions (direct):
Zr (0.0000, 0.0000, 0.0000)
Mn (0.2500, 0.2500, 0.2500)
Mn (0.5000, 0.5000, 0.5000)
Cd (0.7500, 0.7500, 0.7500)

For the energy relative to the elements, the calculation gives 309 meV per atom.

=====

# 3
Material: AcMgSn4
Method: DFT, PBE-GGA
State: optimized geometry

a b c (Å): 6.5969 6.5969 5.4241
angles (deg): 90.00 90.00 133.16
Positions (direct):
Ac (0.0000, 0.0000, 0.0000)
Mg (0.5000, 0.5000, 0.5000)
Sn (0.1740, 0.8260, 0.5000)
Sn (0.3122, 0.6878, 0.0000)
Sn (0.6878, 0.3122, 0.0000)
Sn (0.8260, 0.1740, 0.5000)

The calculation puts the energy relative to the lowest polymorph listed for this composition at 20 meV per atom. For the energy relative to the elements, the calculation gives -240 meV per atom.

=====

# 4
Material: LaMo2HAu
Method: DFT, PBE-GGA
State: optimized geometry

a b c (Å): 4.8852 4.8852 5.8920
angles (deg): 90.00 90.00 90.00
Positions (direct):
La (0.0000, 0.0000, 0.0000)
Mo (0.0000, 0.5000, 0.5000)
Mo (0.5000, 0.0000, 0.5000)
H (0.5000, 0.5000, 0.0000)
Au (0.0000, 0.0000, 0.5000)

The value obtained for the total energy is -4.7520 eV per atom.

=====

# 5
Material: Hf2TaAg
Method: DFT, PBE-GGA
State: optimized geometry

a b c (Å): 3.1446 3.1446 8.1612
angles (deg): 90.00 90.00 90.00
Positions (direct):
Hf (0.0000, 0.0000, 0.2454)
Hf (0.0000, 0.0000, 0.7546)
Ta (0.5000, 0.5000, 0.0000)
Ag (0.5000, 0.5000, 0.5000)

The calculation puts the energy relative to the lowest polymorph listed for this composition at 0 meV per atom. For the energy relative to the elements, the calculation gives 6 meV per atom.

=====

# 6
Material: Nd2Os2C3
Method: DFT, PBE-GGA
State: optimized geometry

a b c (Å): 6.1985 6.1985 5.7811
angles (deg): 114.90 114.90 32.70
Positions (direct):
Nd (0.1076, 0.1076, 0.3104)
Nd (0.8924, 0.8924, 0.6896)
Os (0.3421, 0.3421, 0.1822)
Os (0.6579, 0.6579, 0.8178)
C (0.2441, 0.2441, 0.7774)
C (0.5000, 0.5000, 0.5000)
C (0.7559, 0.7559, 0.2226)

For the energy relative to the elements, the calculation gives -108 meV per atom.

=====

# 7
Material: YEr2ScS6
Method: DFT, PBE-GGA
State: optimized geometry

a b c (Å): 7.2234 7.2234 7.2234
angles (deg): 55.92 55.92 55.92
Positions (direct):
Y (0.0000, 0.0000, 0.0000)
Er (0.2976, 0.2976, 0.2976)
Er (0.8005, 0.8005, 0.8005)
Sc (0.4959, 0.4959, 0.4959)
S (0.1062, 0.6971, 0.4012)
S (0.2170, 0.5976, 0.8821)
S (0.4012, 0.1062, 0.6971)
S (0.5976, 0.8821, 0.2170)
S (0.6971, 0.4012, 0.1062)
S (0.8821, 0.2170, 0.5976)

The calculation puts the raw formation energy at -2.009 eV/atom.

=====

# 8
Material: La4TbDy3
Method: DFT, PBE-GGA
State: optimized geometry

a b c (Å): 5.1577 10.3170 10.3041
angles (deg): 90.00 90.00 90.00
Positions (direct):
La (0.2500, 0.0003, 0.1281)
La (0.2500, 0.2500, 0.8714)
La (0.2500, 0.4997, 0.1281)
La (0.2500, 0.7500, 0.8719)
La (0.7500, 0.9997, 0.8719)
La (0.7500, 0.2500, 0.1281)
La (0.7500, 0.5003, 0.8719)
La (0.7500, 0.7500, 0.1286)
Tb (0.2500, 0.2500, 0.3834)
Tb (0.7500, 0.7500, 0.6166)
Dy (0.2500, 0.9998, 0.6168)
Dy (0.2500, 0.5002, 0.6168)
Dy (0.2500, 0.7500, 0.3828)
Dy (0.7500, 0.0002, 0.3832)
Dy (0.7500, 0.2500, 0.6172)
Dy (0.7500, 0.4998, 0.3832)

The calculation puts the energy relative to the lowest polymorph listed for this composition at 0 meV per atom. For the energy relative to the elements, the calculation gives 27 meV per atom.

=====

It is found that the calculated volume values, taken in the order of the records, are 30.7; 18.0; 28.7; 28.1; 20.2; 15.4; 24.1; 34.3 Å³ per atom.